A plane-wave DFT calculation with PBE-GGA was carried out for a relaxed structure of TcRuBr2.

Summary:
- Crystal system: cubic
- E_form (uncorrected): 119 kJ/mol of atoms
- D(E_F): 1.426 states/eV per atom
- Density: 8.142 g cm⁻³
- ΔE to the lowest computed polymorph: 1094 meV per atom
- Calculated total energy: -4.512 eV per atom

abc: 6.640 6.640 6.640
angles: 90.00 90.00 90.00
Space group F-43m (No. 216)
Symmetry-distinct sites (fractional):
Tc1 0.000 0.000 0.000 x4
Ru1 0.250 0.250 0.750 x4
Br1 0.000 0.000 0.500 x4
Br2 0.250 0.250 0.250 x4

***

A plane-wave DFT calculation with PBE-GGA was carried out for a relaxed structure of Tc2Ru2Br.

Summary:
- Crystal system: tetragonal
- E_form (uncorrected): 54 kJ/mol of atoms
- D(E_F): 0.921 states/eV per atom
- Density: 9.669 g cm⁻³
- ΔE to the lowest computed polymorph: 0 meV per atom
- Calculated total energy: -7.627 eV per atom

abc: 7.655 7.655 2.802
angles: 90.00 90.00 90.00
Space group P4/mbm (No. 127)
Symmetry-distinct sites (fractional):
Tc1 0.121 0.379 0.000 x4
Ru1 0.163 0.663 0.500 x4
Br1 0.000 0.000 0.500 x2

***

A plane-wave DFT calculation with PBE-GGA was carried out for a relaxed structure of TcRuBr2.

Summary:
- Crystal system: trigonal
- E_form (uncorrected): 39 kJ/mol of atoms
- D(E_F): 1.212 states/eV per atom
- Density: 7.365 g cm⁻³
- ΔE to the lowest computed polymorph: 265 meV per atom
- Calculated total energy: -5.340 eV per atom

abc: 3.0776 3.0776 29.5945
angles: 90.00 90.00 120.00
Space group R3m (No. 160, hexagonal axes)
Symmetry-distinct sites (fractional):
Tc1 0.0000 0.0000 0.0000 x3
Ru1 0.0000 0.0000 0.2677 x3
Br1 0.0000 0.0000 0.5305 x3
Br2 0.0000 0.0000 0.7334 x3

***

A plane-wave DFT calculation with PBE-GGA was carried out for a relaxed structure of TcRuBr2.

Summary:
- Crystal system: monoclinic
- E_form (uncorrected): 102 kJ/mol of atoms
- D(E_F): 1.443 states/eV per atom
- Density: 8.106 g cm⁻³
- ΔE to the lowest computed polymorph: 919 meV per atom
- Calculated total energy: -4.687 eV per atom

abc: 3.161 4.337 5.381
angles: 90.00 94.71 90.00
Space group P2/m (No. 10)
Symmetry-distinct sites (fractional):
Tc1 0.000 0.000 0.000 x1
Ru1 0.500 0.000 0.500 x1
Br1 0.246 0.500 0.250 x2

***

A plane-wave DFT calculation with PBE-GGA was carried out for a relaxed structure of TcRuBr.

Summary:
- Crystal system: trigonal
- E_form (uncorrected): 53 kJ/mol of atoms
- D(E_F): 0.854 states/eV per atom
- Density: 9.559 g cm⁻³
- ΔE to the lowest computed polymorph: 9 meV per atom
- Calculated total energy: -6.556 eV per atom

abc: 2.9584 2.9584 6.3941
angles: 90.00 90.00 120.00
Space group P3m1 (No. 156)
Symmetry-distinct sites (fractional):
Tc1 0.0000 0.0000 0.0000 x1
Ru1 0.3333 0.6667 0.6948 x1
Br1 0.6667 0.3333 0.3341 x1

***

A plane-wave DFT calculation with PBE-GGA was carried out for a relaxed structure of TcRuBr2.

Summary:
- Crystal system: cubic
- E_form (uncorrected): 104 kJ/mol of atoms
- D(E_F): 1.136 states/eV per atom
- Density: 9.011 g cm⁻³
- ΔE to the lowest computed polymorph: 935 meV per atom
- Calculated total energy: -4.671 eV per atom

abc: 6.419 6.419 6.419
angles: 90.00 90.00 90.00
Space group Fm-3m (No. 225)
Symmetry-distinct sites (fractional):
Tc1 0.000 0.000 0.000 x4
Ru1 0.000 0.000 0.500 x4
Br1 0.250 0.250 0.250 x8

***

A plane-wave DFT calculation with PBE-GGA was carried out for a relaxed structure of TcRuBr2.

Summary:
- Crystal system: orthorhombic
- E_form (uncorrected): 101 kJ/mol of atoms
- D(E_F): 1.061 states/eV per atom
- Density: 8.041 g cm⁻³
- ΔE to the lowest computed polymorph: 906 meV per atom
- Calculated total energy: -4.700 eV per atom

abc: 3.021 4.348 5.642
angles: 90.00 90.00 90.00
Space group Pmmm (No. 47)
Symmetry-distinct sites (fractional):
Tc1 0.000 0.000 0.000 x1
Ru1 0.500 0.000 0.500 x1
Br1 0.000 0.500 0.500 x1
Br2 0.500 0.500 0.000 x1

***

A plane-wave DFT calculation with PBE-GGA was carried out for a relaxed structure of TcRuBr2.

Summary:
- Crystal system: monoclinic
- E_form (uncorrected): 21 kJ/mol of atoms
- D(E_F): 0.836 states/eV per atom
- Density: 6.807 g cm⁻³
- ΔE to the lowest computed polymorph: 73 meV per atom
- Calculated total energy: -5.533 eV per atom

abc: 3.157 3.029 9.156
angles: 90.00 90.71 90.00
Space group Pm (No. 6)
Symmetry-distinct sites (fractional):
Tc1 0.000 0.000 0.000 x1
Ru1 0.506 0.500 0.160 x1
Br1 0.516 0.000 0.385 x1
Br2 0.993 0.500 0.780 x1

***

A plane-wave DFT calculation with PBE-GGA was carried out for a relaxed structure of TcRuBr2.

Summary:
- Crystal system: monoclinic
- E_form (uncorrected): 14 kJ/mol of atoms
- D(E_F): 0.556 states/eV per atom
- Density: 6.097 g cm⁻³
- ΔE to the lowest computed polymorph: 0 meV per atom
- Calculated total energy: -5.606 eV per atom

abc: 6.456 3.577 8.985
angles: 90.00 109.59 90.00
Space group Cm (No. 8)
Symmetry-distinct sites (fractional):
Tc1 0.000 0.000 0.000 x2
Ru1 0.265 0.000 0.868 x2
Br1 0.143 0.500 0.226 x2
Br2 0.484 0.000 0.658 x2

***

A plane-wave DFT calculation with PBE-GGA was carried out for a relaxed structure of TcRuBr2.

Summary:
- Crystal system: orthorhombic
- E_form (uncorrected): 102 kJ/mol of atoms
- D(E_F): 1.221 states/eV per atom
- Density: 8.123 g cm⁻³
- ΔE to the lowest computed polymorph: 921 meV per atom
- Calculated total energy: -4.685 eV per atom

abc: 3.008 5.612 8.694
angles: 90.00 90.00 90.00
Space group Cmmm (No. 65)
Symmetry-distinct sites (fractional):
Tc1 0.000 0.000 0.000 x2
Ru1 0.000 0.000 0.500 x2
Br1 0.000 0.500 0.252 x4

***

A plane-wave DFT calculation with PBE-GGA was carried out for a relaxed structure of Tc2Ru2Br.

Summary:
- Crystal system: tetragonal
- E_form (uncorrected): 67 kJ/mol of atoms
- D(E_F): 0.894 states/eV per atom
- Density: 9.321 g cm⁻³
- ΔE to the lowest computed polymorph: 128 meV per atom
- Calculated total energy: -7.500 eV per atom

abc: 3.611 3.611 13.065
angles: 90.00 90.00 90.00
Space group I4/mmm (No. 139)
Symmetry-distinct sites (fractional):
Tc1 0.000 0.500 0.250 x4
Ru1 0.000 0.000 0.106 x4
Br1 0.000 0.000 0.500 x2

***

A plane-wave DFT calculation with PBE-GGA was carried out for a relaxed structure of TcRuBr2.

Summary:
- Crystal system: orthorhombic
- E_form (uncorrected): 42 kJ/mol of atoms
- D(E_F): 0.851 states/eV per atom
- Density: 6.487 g cm⁻³
- ΔE to the lowest computed polymorph: 292 meV per atom
- Calculated total energy: -5.313 eV per atom

abc: 3.953 5.344 8.697
angles: 90.00 90.00 90.00
Space group Cmm2 (No. 35)
Symmetry-distinct sites (fractional):
Tc1 0.000 0.000 0.000 x2
Ru1 0.000 0.500 0.855 x2
Br1 0.000 0.000 0.644 x2
Br2 0.000 0.500 0.219 x2

***

A plane-wave DFT calculation with PBE-GGA was carried out for a relaxed structure of TcRuBr.

Summary:
- Crystal system: orthorhombic
- E_form (uncorrected): 84 kJ/mol of atoms
- D(E_F): 1.241 states/eV per atom
- Density: 9.041 g cm⁻³
- ΔE to the lowest computed polymorph: 327 meV per atom
- Calculated total energy: -6.239 eV per atom

abc: 2.876 5.060 14.086
angles: 90.00 90.00 90.00
Space group Fmm2 (No. 42)
Symmetry-distinct sites (fractional):
Tc1 0.000 0.000 0.000 x4
Ru1 0.000 0.000 0.644 x4
Br1 0.000 0.000 0.324 x4

***

A plane-wave DFT calculation with PBE-GGA was carried out for a relaxed structure of TcRuBr2.

Summary:
- Crystal system: tetragonal
- E_form (uncorrected): 105 kJ/mol of atoms
- D(E_F): 1.123 states/eV per atom
- Density: 6.627 g cm⁻³
- ΔE to the lowest computed polymorph: 950 meV per atom
- Calculated total energy: -4.656 eV per atom

abc: 5.623 5.623 11.378
angles: 90.00 90.00 90.00
Space group I-42d (No. 122)
Symmetry-distinct sites (fractional):
Tc1 0.000 0.000 0.000 x4
Ru1 0.000 0.000 0.500 x4
Br1 0.248 0.250 0.125 x8

***

A plane-wave DFT calculation with PBE-GGA was carried out for a relaxed structure of TcRuBr2.

Summary:
- Crystal system: trigonal
- E_form (uncorrected): 83 kJ/mol of atoms
- D(E_F): 1.276 states/eV per atom
- Density: 8.076 g cm⁻³
- ΔE to the lowest computed polymorph: 717 meV per atom
- Calculated total energy: -4.888 eV per atom

abc: 3.1543 3.1543 25.6911
angles: 90.00 90.00 120.00
Space group R-3m (No. 166, hexagonal axes)
Symmetry-distinct sites (fractional):
Tc1 0.0000 0.0000 0.0000 x3
Ru1 0.0000 0.0000 0.5000 x3
Br1 0.0000 0.0000 0.4066 x6

***

A plane-wave DFT calculation with PBE-GGA was carried out for a relaxed structure of TcRuBr2.

Summary:
- Crystal system: monoclinic
- E_form (uncorrected): 49 kJ/mol of atoms
- D(E_F): 1.038 states/eV per atom
- Density: 6.126 g cm⁻³
- ΔE to the lowest computed polymorph: 370 meV per atom
- Calculated total energy: -5.236 eV per atom

abc: 14.115 3.063 4.533
angles: 90.00 96.95 90.00
Space group C2/m (No. 12)
Symmetry-distinct sites (fractional):
Tc1 0.000 0.000 0.000 x2
Ru1 0.000 0.500 0.500 x2
Br1 0.139 0.500 0.207 x4

***

A plane-wave DFT calculation with PBE-GGA was carried out for a relaxed structure of TcRuBr2.

Summary:
- Crystal system: tetragonal
- E_form (uncorrected): 116 kJ/mol of atoms
- D(E_F): 1.295 states/eV per atom
- Density: 8.117 g cm⁻³
- ΔE to the lowest computed polymorph: 1061 meV per atom
- Calculated total energy: -4.545 eV per atom

abc: 3.777 3.777 10.293
angles: 90.00 90.00 90.00
Space group I-4m2 (No. 119)
Symmetry-distinct sites (fractional):
Tc1 0.000 0.000 0.000 x2
Ru1 0.000 0.500 0.250 x2
Br1 0.000 0.000 0.500 x2
Br2 0.000 0.500 0.750 x2

***

A plane-wave DFT calculation with PBE-GGA was carried out for a relaxed structure of TcRuBr.

Summary:
- Crystal system: tetragonal
- E_form (uncorrected): 52 kJ/mol of atoms
- D(E_F): 0.791 states/eV per atom
- Density: 9.327 g cm⁻³
- ΔE to the lowest computed polymorph: 0 meV per atom
- Calculated total energy: -6.566 eV per atom

abc: 2.972 2.972 11.242
angles: 90.00 90.00 90.00
Space group I4mm (No. 107)
Symmetry-distinct sites (fractional):
Tc1 0.000 0.000 0.000 x2
Ru1 0.000 0.000 0.634 x2
Br1 0.000 0.000 0.327 x2

***

A plane-wave DFT calculation with PBE-GGA was carried out for a relaxed structure of TcRuBr2.

Summary:
- Crystal system: tetragonal
- E_form (uncorrected): 105 kJ/mol of atoms
- D(E_F): 1.256 states/eV per atom
- Density: 9.008 g cm⁻³
- ΔE to the lowest computed polymorph: 951 meV per atom
- Calculated total energy: -4.655 eV per atom

abc: 4.530 4.530 3.223
angles: 90.00 90.00 90.00
Space group P4/mmm (No. 123)
Symmetry-distinct sites (fractional):
Tc1 0.000 0.000 0.000 x1
Ru1 0.500 0.500 0.000 x1
Br1 0.000 0.500 0.500 x2

***

A plane-wave DFT calculation with PBE-GGA was carried out for a relaxed structure of Tc3RuBr.

Summary:
- Crystal system: cubic
- E_form (uncorrected): 181 kJ/mol of atoms
- D(E_F): 1.262 states/eV per atom
- Density: 8.712 g cm⁻³
- ΔE to the lowest computed polymorph: 6 meV per atom
- Calculated total energy: -6.530 eV per atom

abc: 4.490 4.490 4.490
angles: 90.00 90.00 90.00
Space group Pm-3m (No. 221)
Symmetry-distinct sites (fractional):
Tc1 0.000 0.000 0.500 x3
Ru1 0.500 0.500 0.500 x1
Br1 0.000 0.000 0.000 x1